# MgAl2Si

A relaxed structure of MgAl2Si (PBE, Alexandria via LeMat-Bulk).

abc: 4.168 3.064 5.726
angles: 73.16 90.00 90.00
Sites, in units of the cell vectors:
Si1 0.500 0.941 0.725
Al1 0.000 0.808 0.015
Al2 0.500 0.205 0.227
Mg1 0.000 0.546 0.533

Calculated values
Its symmetry is Pm, No. 6. As for the uncorrected formation energy: 76 meV/atom.